Entry 1:
DFT (GGA-PBE) results for a relaxed structure of Ca2Ga3Ni4Ir.

abc: 3.9527 3.9527 10.5615
angles: 90.00 90.00 90.00
Space group P-4m2 (No. 115)
Asymmetric unit:
Ca (0.0000, 0.5000, 0.2450) (multiplicity 2)
Ga (0.0000, 0.0000, 0.0000) (multiplicity 1)
Ga (0.0000, 0.5000, 0.6306) (multiplicity 2)
Ni (0.0000, 0.0000, 0.5000) (multiplicity 1)
Ni (0.0000, 0.5000, 0.8576) (multiplicity 2)
Ni (0.5000, 0.5000, 0.5000) (multiplicity 1)
Ir (0.5000, 0.5000, 0.0000) (multiplicity 1)

Properties
Its formation energy is -0.38 eV per atom. The total energy comes out at -4.89 eV per atom.

Entry 2:
DFT (GGA-PBE) results for a relaxed structure of Nb2PAu.

abc: 4.5579 4.5579 16.2021
angles: 90.00 90.00 90.00
Space group I-42d (No. 122)
Asymmetric unit:
Nb (0.1872, 0.2500, 0.1250) (multiplicity 8)
P (0.0000, 0.0000, 0.0000) (multiplicity 4)
Au (0.0000, 0.0000, 0.5000) (multiplicity 4)

Properties
Its formation energy is 0.44 eV per atom. The total energy comes out at -6.77 eV per atom.

Entry 3:
DFT (GGA-PBE) results for a relaxed structure of Ta2ZnMo.

abc: 3.3655 4.4266 9.0165
angles: 90.00 90.00 90.00
Space group Cmm2 (No. 35)
Asymmetric unit:
Ta (0.0000, 0.0000, 0.0000) (multiplicity 2)
Ta (0.0000, 0.5000, 0.2627) (multiplicity 2)
Zn (0.0000, 0.0000, 0.5120) (multiplicity 2)
Mo (0.0000, 0.5000, 0.7486) (multiplicity 2)

Properties
Its formation energy is 0.04 eV per atom. The total energy comes out at -8.91 eV per atom.

Entry 4:
DFT (GGA-PBE) results for a relaxed structure of TmZrSc.

abc: 3.3388 3.3388 23.9393
angles: 90.00 90.00 120.00
Space group R3m (No. 160, hexagonal axes)
Asymmetric unit:
Tm (0.0000, 0.0000, 0.0000) (multiplicity 3)
Zr (0.0000, 0.0000, 0.2210) (multiplicity 3)
Sc (0.0000, 0.0000, 0.7845) (multiplicity 3)

Properties
Its formation energy is 0.03 eV per atom. The total energy comes out at -6.42 eV per atom.

Entry 5:
DFT (GGA-PBE) results for a relaxed structure of CoBr3.

abc: 8.3673 8.3673 5.1382
angles: 90.00 90.00 120.00
Space group R-3m (No. 166, hexagonal axes)
Asymmetric unit:
Co (0.0000, 0.0000, 0.0000) (multiplicity 3)
Br (0.0000, 0.5000, 0.0000) (multiplicity 9)

Properties
The formation energy from raw total energies comes out at 0.614 eV/atom. The total energy comes out at -2.42 eV per atom.

Entry 6:
DFT (GGA-PBE) results for a relaxed structure of DyLuPd4.

abc: 7.6654 7.6654 7.6654
angles: 90.00 90.00 90.00
Space group F-43m (No. 216)
Asymmetric unit:
Dy (0.0000, 0.0000, 0.0000) (multiplicity 4)
Lu (0.2500, 0.2500, 0.2500) (multiplicity 4)
Pd (0.1248, 0.1248, 0.6248) (multiplicity 16)

Properties
Its formation energy is -0.82 eV per atom. The total energy comes out at -5.80 eV per atom.